A geometry-optimized Rb3Pu3NpSe8 structure. Source: Alexandria via LeMat-Bulk, functional PBE.

a b c (Å): 8.499 8.500 9.453
angles (deg): 116.74 90.00 120.00
Last column: magnetic moment on the atom in μB.
Positions (direct):
Pu 0.000 0.500 0.500  5.08
Pu 0.500 0.000 0.500  5.08
Pu 0.500 0.500 0.500  5.08
Rb 0.000 0.500 0.000  0.00
Rb 0.000 0.000 0.000  0.00
Rb 0.500 0.500 0.000  0.00
Se 0.773 0.038 0.311  -0.12
Se 0.227 0.455 0.689  -0.12
Se 0.269 0.538 0.307  -0.11
Se 0.227 0.962 0.689  -0.12
Se 0.734 0.962 0.689  -0.12
Se 0.731 0.462 0.693  -0.11
Se 0.773 0.545 0.311  -0.12
Se 0.266 0.038 0.311  -0.12
Np 0.000 0.000 0.500  3.56

Calculated values
Its total energy is -7.1808 eV per atom. The formation energy without anion corrections is -1.400 eV/atom. As for the density of states at the Fermi level: 42.1 states/eV per cell.